Material: SrV2O6
Method: DFT, GGA+U
State: relaxed

```
data_SrV2O6
_cell_length_a 11.011
_cell_length_b 10.665
_cell_length_c 6.049
_cell_angle_alpha 90.00
_cell_angle_beta 109.16
_cell_angle_gamma 90.00
_space_group_name_H-M_alt 'C 1 2/c 1'
_space_group_IT_number 15
loop_
_space_group_symop_operation_xyz
'x,y,z'
'-x,-y,-z'
'-x,y,-z+1/2'
'x,-y,z+1/2'
'x+1/2,y+1/2,z'
'-x+1/2,-y+1/2,-z'
'-x+1/2,y+1/2,-z+1/2'
'x+1/2,-y+1/2,z+1/2'
loop_
_atom_site_label
_atom_site_fract_x
_atom_site_fract_y
_atom_site_fract_z
Sr1 0.000 0.121 0.250
V1 0.201 0.426 0.234
O1 0.136 0.060 0.661
O2 0.141 0.497 0.451
O3 0.157 0.276 0.209
```

Properties
final energy: -265.341 eV/cell